This record from the Alexandria database describes an optimized crystal structure of La2Tb5Ga4. The functional is PBE.

Unit cell a=3.7342 b=12.5831 c=9.7963 alpha=129.96 beta=100.99 gamma=90.00
Positions (direct):
La 0.2040 0.2040 0.4079
La 0.7960 0.7960 0.5921
Tb 0.1437 0.4618 0.2874
Tb 0.8563 0.5382 0.7126
Tb 0.1437 0.8255 0.2874
Tb 0.5000 0.0000 0.0000
Tb 0.8563 0.1745 0.7126
Ga 0.5886 0.5886 0.1772
Ga 0.0000 0.1672 0.0000
Ga 0.4114 0.4114 0.8228
Ga 0.0000 0.8328 0.0000

## Properties
Its space-group type is Immm (71). The energy of formation comes out at -0.048 eV per atom. The total magnetization is 0.00 μB per formula unit. The value obtained for the energy is -4.149 eV/atom.

This record from the Alexandria database describes an optimized crystal structure of Tl2AgHPt. The functional is PBE.

Unit cell a=5.5213 b=5.5213 c=3.4387 alpha=90.00 beta=90.00 gamma=90.00
Positions (direct):
H 0.0000 0.0000 0.5000
Tl 0.0000 0.5000 0.0000
Tl 0.5000 0.0000 0.0000
Ag 0.5000 0.5000 0.5000
Pt 0.0000 0.0000 0.0000

## Properties
Its relative energy among the computed polymorphs is 0.0000 eV per atom. Its space-group type is P4/mmm (123). The total magnetization is 0.00 μB per formula unit. The value obtained for the energy is -3.282 eV/atom.

This record from the Alexandria database describes an optimized crystal structure of YMn2Cu. The functional is PBE.

Unit cell a=4.1753 b=4.1753 c=9.2650 alpha=76.98 beta=76.98 gamma=90.00
Each line ends with the local moment (μB).
Positions (direct):
Y 0.0000 0.0000 0.0000  -0.12
Y 0.7500 0.2500 0.5000  -0.12
Mn 0.3750 0.1250 0.2500  1.64
Mn 0.3750 0.6250 0.2500  1.65
Mn 0.3750 0.6250 0.7500  1.73
Mn 0.8750 0.6250 0.7500  1.73
Cu 0.5000 0.5000 0.0000  0.07
Cu 0.2500 0.7500 0.5000  0.07

## Properties
Its relative energy among the computed polymorphs is 0.4740 eV per atom. Its space-group type is I4_1/amd (141). The energy of formation comes out at 0.511 eV per atom. The total magnetization is 3.35 μB per formula unit. The value obtained for the energy is -6.713 eV/atom.

This record from the Alexandria database describes an optimized crystal structure of Er2LuZn. The functional is PBE.

Unit cell a=3.5170 b=3.5170 c=8.4778 alpha=90.00 beta=90.00 gamma=90.00
Positions (direct):
Zn 0.5000 0.5000 0.0000
Lu 0.5000 0.5000 0.5000
Er 0.0000 0.0000 0.7913
Er 0.0000 0.0000 0.2087

## Properties
Its relative energy among the computed polymorphs is 0.0000 eV per atom. Its space-group type is P4/mmm (123). The energy of formation comes out at -0.158 eV per atom. The total magnetization is 0.00 μB per formula unit. The value obtained for the energy is -3.888 eV/atom.

This record from the Alexandria database describes an optimized crystal structure of CsTl2Bi2Pb. The functional is PBE.

Unit cell a=5.5910 b=5.5910 c=8.6590 alpha=90.00 beta=90.00 gamma=120.00
Positions (direct):
Cs 0.0000 0.0000 0.0000
Tl 0.6667 0.3333 0.3233
Tl 0.3333 0.6667 0.6767
Bi 0.6667 0.3333 0.7003
Bi 0.3333 0.6667 0.2997
Pb 0.0000 0.0000 0.5000

## Properties
Its space-group type is P-3m1 (164). The energy of formation comes out at -0.115 eV per atom. The total magnetization is 0.00 μB per formula unit. The value obtained for the energy is -2.958 eV/atom.

This record from the Alexandria database describes an optimized crystal structure of Y2SnOsO. The functional is PBE.

Unit cell a=5.3581 b=4.9515 c=5.3581 alpha=90.00 beta=90.00 gamma=90.00
Positions (direct):
Y 0.0000 0.0000 0.5000
Y 0.5000 0.0000 0.0000
Os 0.0000 0.0000 0.0000
Sn 0.0000 0.5000 0.0000
O 0.5000 0.5000 0.5000

## Properties
Its space-group type is P4/mmm (123). The total magnetization is 0.00 μB per formula unit. The raw formation energy is 0.7 kcal/mol of atoms. The value obtained for the energy is -6.593 eV/atom.

This record from the Alexandria database describes an optimized crystal structure of LuHg2Au. The functional is PBE.

Unit cell a=4.9426 b=4.9426 c=4.9426 alpha=60.00 beta=60.00 gamma=60.00
Positions (direct):
Lu 0.0000 0.0000 0.0000
Au 0.5000 0.5000 0.5000
Hg 0.2500 0.2500 0.2500
Hg 0.7500 0.7500 0.7500

## Properties
Its relative energy among the computed polymorphs is 0.0059 eV per atom. Its space-group type is Fm-3m (225). The energy of formation comes out at -0.354 eV per atom. The total magnetization is 0.00 μB per formula unit. The value obtained for the energy is -2.454 eV/atom.

This record from the Alexandria database describes an optimized crystal structure of SrCa2Ce. The functional is PBE.

Unit cell a=3.8680 b=3.8680 c=11.2418 alpha=90.00 beta=90.00 gamma=90.00
Each line ends with the local moment (μB).
Positions (direct):
Sr 0.5000 0.5000 0.5000  0.00
Ca 0.0000 0.0000 0.7705  0.06
Ca 0.0000 0.0000 0.2295  0.06
Ce 0.5000 0.5000 0.0000  1.29

## Properties
Its relative energy among the computed polymorphs is 0.0000 eV per atom. Its space-group type is P4/mmm (123). The energy of formation comes out at 0.177 eV per atom. The total magnetization is 2.33 μB per formula unit. The value obtained for the energy is -2.727 eV/atom.

This record from the Alexandria database describes an optimized crystal structure of Sc2SiNi2. The functional is PBE.

Unit cell a=4.9022 b=4.9022 c=4.9022 alpha=119.01 beta=119.01 gamma=91.73
Positions (direct):
Sc 0.2500 0.7500 0.5000
Sc 0.7500 0.2500 0.5000
Si 0.0000 0.0000 0.0000
Ni 0.3379 0.3379 0.0000
Ni 0.6621 0.6621 0.0000

## Properties
Its space-group type is I4/mmm (139). The total magnetization is 0.00 μB per formula unit. The raw formation energy is -7.9 kcal/mol of atoms. The value obtained for the energy is -6.271 eV/atom.

This record from the Alexandria database describes an optimized crystal structure of TlTcNi2. The functional is PBE.

Unit cell a=4.3872 b=4.3872 c=4.3872 alpha=60.00 beta=60.00 gamma=60.00
Each line ends with the local moment (μB).
Positions (direct):
Ni 0.0000 0.0000 0.0000  0.23
Ni 0.2500 0.2500 0.2500  0.54
Tc 0.5000 0.5000 0.5000  1.17
Tl 0.7500 0.7500 0.7500  0.01

## Properties
Its relative energy among the computed polymorphs is 0.1922 eV per atom. Its space-group type is F-43m (216). The energy of formation comes out at 0.541 eV per atom. The total magnetization is 1.95 μB per formula unit. The value obtained for the energy is -5.533 eV/atom.

This record from the Alexandria database describes an optimized crystal structure of LiB2C2. The functional is PBE.

Unit cell a=2.7180 b=7.2434 c=9.3496 alpha=90.18 beta=90.00 gamma=90.00
Positions (direct):
C 0.5000 0.7706 0.0877
C 0.0000 0.2536 0.1635
C 0.0000 0.7388 0.3355
C 0.5000 0.2682 0.4135
C 0.5000 0.7307 0.5863
C 0.0000 0.2496 0.6649
C 0.0000 0.7556 0.8367
C 0.5000 0.2339 0.9141
B 0.5000 0.2406 0.0813
B 0.0000 0.7677 0.1684
B 0.0000 0.2592 0.3317
B 0.5000 0.7406 0.4165
B 0.5000 0.2533 0.5819
B 0.0000 0.7386 0.6675
B 0.0000 0.2376 0.8352
B 0.5000 0.7648 0.9204
Li 0.5000 0.5057 0.2289
Li 0.0000 0.4983 0.5022
Li 0.5000 0.9954 0.7386
Li 0.5000 0.4970 0.7751

## Properties
Its relative energy among the computed polymorphs is 0.0523 eV per atom. Its space-group type is Pm (6). The energy of formation comes out at -0.017 eV per atom. The total magnetization is 0.00 μB per formula unit. The value obtained for the energy is -6.761 eV/atom.

This record from the Alexandria database describes an optimized crystal structure of ErTh2Ru. The functional is PBE.

Unit cell a=3.6344 b=3.6344 c=8.1953 alpha=90.00 beta=90.00 gamma=90.00
Positions (direct):
Ru 0.5000 0.5000 0.0000
Th 0.0000 0.0000 0.7983
Th 0.0000 0.0000 0.2017
Er 0.5000 0.5000 0.5000

## Properties
Its relative energy among the computed polymorphs is 0.2066 eV per atom. Its space-group type is P4/mmm (123). The energy of formation comes out at -0.097 eV per atom. The total magnetization is 0.00 μB per formula unit. The value obtained for the energy is -7.267 eV/atom.

This record from the Alexandria database describes an optimized crystal structure of CaSm9Tm2. The functional is PBE.

Unit cell a=5.1162 b=5.1162 c=15.3717 alpha=90.00 beta=90.00 gamma=90.00
Positions (direct):
Ca 0.0000 0.0000 0.0000
Sm 0.5000 0.5000 0.0000
Sm 0.5000 0.5000 0.3350
Sm 0.5000 0.5000 0.6650
Sm 0.5000 0.0000 0.1735
Sm 0.5000 0.0000 0.5000
Sm 0.5000 0.0000 0.8265
Sm 0.0000 0.5000 0.1735
Sm 0.0000 0.5000 0.5000
Sm 0.0000 0.5000 0.8265
Tm 0.0000 0.0000 0.3348
Tm 0.0000 0.0000 0.6652

## Properties
Its space-group type is P4/mmm (123). The energy of formation comes out at 0.040 eV per atom. The total magnetization is 0.00 μB per formula unit. The value obtained for the energy is -4.411 eV/atom.